Run a
DFT (GGA-PBE) results for a relaxed structure of Li2MgTl2.

Summary:
total magnetic moment: 0.00 μB per formula unit
space group: No. 127

Cell lengths 7.7336, 7.7336, 3.5875 Å; angles 90.00, 90.00, 90.00 degrees
Atoms (fractional coordinates):
Li (0.1313, 0.3687, 0.0000)
Mg (0.0000, 0.0000, 0.0000)
Tl (0.3337, 0.1663, 0.5000)
Li (0.3687, 0.8687, 0.0000)
Tl (0.1663, 0.6663, 0.5000)
Tl (0.8337, 0.3337, 0.5000)
Tl (0.6663, 0.8337, 0.5000)
Mg (0.5000, 0.5000, 0.0000)
Li (0.6313, 0.1313, 0.0000)
Li (0.8687, 0.6313, 0.0000)



Run b
DFT (GGA-PBE) results for a relaxed structure of Li2MgTl2.

Summary:
total magnetic moment: 0.00 μB per formula unit
space group: No. 59

Cell lengths 3.3151, 4.9288, 13.7067 Å; angles 90.00, 90.00, 90.00 degrees
Atoms (fractional coordinates):
Li (0.7500, 0.7500, 0.0343)
Li (0.2500, 0.7501, 0.6508)
Li (0.7500, 0.2499, 0.3492)
Mg (0.7500, 0.2500, 0.7612)
Tl (0.7500, 0.2500, 0.1453)
Tl (0.2500, 0.2500, 0.5546)
Li (0.2500, 0.2500, 0.9657)
Mg (0.2500, 0.7500, 0.2388)
Tl (0.7500, 0.7500, 0.4454)
Tl (0.2500, 0.7500, 0.8547)



The least stable of the structures above is run b, whereas run a is the most stable.